Material: KHgW3
Method: DFT, meta-GGA SCAN
State: PBEsol geometry

- space-group type = No. 221
- electronic total energy (eV per atom) = -53.219
- volume (Å³ per atom) = 18.3
- energy relative to the elements (meV per atom) = 3893
- DOS(E_F) (states/eV per cell) = 3.3

Cell: 4.5080 4.5080 4.5080 Å, 90.00 90.00 90.00°
With the nearest neighbours (Å) after each atom.
Element x y z (fractional)
1 K 0.0000 0.0000 0.0000  6 W 2.25
2 Hg 0.5000 0.5000 0.5000  12 W 3.19
3 W 0.0000 0.0000 0.5000  2 K 2.25
4 W 0.0000 0.5000 0.0000  2 K 2.25
5 W 0.5000 0.0000 0.0000  2 K 2.25

=====

Material: H2Pt2Au
Method: DFT, meta-GGA SCAN
State: PBEsol geometry

- space-group type = No. 139
- electronic total energy (eV per atom) = -43.145
- volume (Å³ per atom) = 10.7
- DOS(E_F) (states/eV per cell) = 2.5

Cell: 3.2557 3.2557 10.1040 Å, 90.00 90.00 90.00°
With the nearest neighbours (Å) after each atom.
Element x y z (fractional)
1 H 0.0000 0.5000 0.2500  4 Pt 1.89
2 H 0.0000 0.5000 0.7500  4 Pt 1.89
3 H 0.5000 0.0000 0.2500  4 Pt 1.89
4 H 0.5000 0.0000 0.7500  4 Pt 1.89
5 Pt 0.0000 0.0000 0.1543  4 H 1.89
6 Pt 0.0000 0.0000 0.8457  4 H 1.89
7 Pt 0.5000 0.5000 0.3457  4 H 1.89
8 Pt 0.5000 0.5000 0.6543  4 H 1.89
9 Au 0.0000 0.0000 0.5000  8 Pt 2.78, 8 H 3.01
10 Au 0.5000 0.5000 0.0000  8 Pt 2.78, 8 H 3.01

=====

Material: Cr2O3
Method: DFT, meta-GGA SCAN
State: PBEsol geometry

- space-group type = No. 148
- raw formation energy (kJ per mole of atoms) = -239.3
- electronic total energy (eV per atom) = -13.573
- volume (Å³ per atom) = 10.2
- DOS(E_F) (states/eV per cell) = 0.0

Cell: 5.4994 5.4994 5.4994 Å, 54.46 54.46 54.46°
With the nearest neighbours (Å) after each atom.
Element x y z (fractional)
1 Cr 0.0000 0.0000 0.0000  6 O 2.01
2 Cr 0.1877 0.1877 0.1877  6 O 1.96-2.00
3 Cr 0.5000 0.5000 0.5000  6 O 1.99
4 Cr 0.8123 0.8123 0.8123  6 O 1.96-2.00
5 O 0.1095 0.3867 0.7859  4 Cr 1.96-2.01
6 O 0.2141 0.8905 0.6133  4 Cr 1.96-2.01
7 O 0.3867 0.7859 0.1095  4 Cr 1.96-2.01
8 O 0.6133 0.2141 0.8905  4 Cr 1.96-2.01
9 O 0.7859 0.1095 0.3867  4 Cr 1.96-2.01
10 O 0.8905 0.6133 0.2141  4 Cr 1.96-2.01

=====

Material: BaHg4
Method: DFT, meta-GGA SCAN
State: PBEsol geometry

- space-group type = No. 87
- electronic total energy (eV per atom) = -62.917
- volume (Å³ per atom) = 27.1
- energy relative to the elements (meV per atom) = -474
- DOS(E_F) (states/eV per cell) = 4.5

Cell: 7.0308 7.0308 5.4758 Å, 90.00 90.00 90.00°
With the nearest neighbours (Å) after each atom.
Element x y z (fractional)
1 Ba 0.0000 0.0000 0.0000  12 Hg 3.45-3.69
2 Ba 0.5000 0.5000 0.5000  12 Hg 3.45-3.69
3 Hg 0.0153 0.2993 0.5000  3 Hg 2.83-2.98
4 Hg 0.2007 0.5153 0.0000  3 Hg 2.83-2.98
5 Hg 0.2993 0.9847 0.5000  3 Hg 2.83-2.98
6 Hg 0.4847 0.2007 0.0000  3 Hg 2.83-2.98
7 Hg 0.5153 0.7993 0.0000  3 Hg 2.83-2.98
8 Hg 0.7007 0.0153 0.5000  3 Hg 2.83-2.98
9 Hg 0.7993 0.4847 0.0000  3 Hg 2.83-2.98
10 Hg 0.9847 0.7007 0.5000  3 Hg 2.83-2.98

=====

Material: Al2Te3
Method: DFT, meta-GGA SCAN
State: PBEsol geometry

- space-group type = No. 9
- raw formation energy (kJ per mole of atoms) = -46.7
- electronic total energy (eV per atom) = -25.935
- volume (Å³ per atom) = 31.1
- DOS(E_F) (states/eV per cell) = 0.0

Cell: 7.2774 7.2774 7.2039 Å, 99.18 99.18 120.51°
With the nearest neighbours (Å) after each atom.
Element x y z (fractional)
1 Al 0.0866 0.9134 0.5000  4 Te 2.56-2.67
2 Al 0.2804 0.7796 0.0030  4 Te 2.57-2.68
3 Al 0.7796 0.2804 0.5030  4 Te 2.57-2.68
4 Al 0.9134 0.0866 0.0000  4 Te 2.56-2.67
5 Te 0.0950 0.2496 0.3878  3 Al 2.66-2.67
6 Te 0.2496 0.0950 0.8878  3 Al 2.66-2.67
7 Te 0.4033 0.8753 0.3925  3 Al 2.67-2.68
8 Te 0.5456 0.7080 0.8563  2 Al 2.56-2.57
9 Te 0.7080 0.5456 0.3563  2 Al 2.56-2.57
10 Te 0.8753 0.4033 0.8925  3 Al 2.67-2.68

=====

Material: Mg2HRuPt
Method: DFT, meta-GGA SCAN
State: PBEsol geometry

- space-group type = No. 123
- electronic total energy (eV per atom) = -24.151
- volume (Å³ per atom) = 12.6
- DOS(E_F) (states/eV per cell) = 2.1

Cell: 4.3092 4.3092 3.4048 Å, 90.00 90.00 90.00°
With the nearest neighbours (Å) after each atom.
Element x y z (fractional)
1 Mg 0.0000 0.5000 0.0000  2 H 2.15
2 Mg 0.5000 0.0000 0.0000  2 H 2.15
3 H 0.0000 0.0000 0.0000  2 Ru 1.70
4 Ru 0.0000 0.0000 0.5000  2 H 1.70
5 Pt 0.5000 0.5000 0.5000  8 Mg 2.75, 4 Ru 3.05

=====

Material: La3FeAg
Method: DFT, meta-GGA SCAN
State: PBEsol geometry

- space-group type = No. 221
- electronic total energy (eV per atom) = -35.726
- volume (Å³ per atom) = 27.4
- energy relative to the elements (meV per atom) = 36
- DOS(E_F) (states/eV per cell) = 4.6

Cell: 5.1523 5.1523 5.1523 Å, 90.00 90.00 90.00°
With the nearest neighbours (Å) after each atom.
Element x y z (fractional)
1 La 0.0000 0.0000 0.5000  2 Fe 2.58
2 La 0.0000 0.5000 0.0000  2 Fe 2.58
3 La 0.5000 0.0000 0.0000  2 Fe 2.58
4 Fe 0.0000 0.0000 0.0000  6 La 2.58
5 Ag 0.5000 0.5000 0.5000  12 La 3.64

=====

Material: CuMoRh2
Method: DFT, meta-GGA SCAN
State: PBEsol geometry

- space-group type = No. 47
- electronic total energy (eV per atom) = -29.541
- volume (Å³ per atom) = 13.4
- energy relative to the elements (meV per atom) = -134
- DOS(E_F) (states/eV per cell) = 2.3

Cell: 2.7257 3.6304 5.4260 Å, 90.00 90.00 90.00°
With the nearest neighbours (Å) after each atom.
Element x y z (fractional)
1 Cu 0.0000 0.0000 0.0000  8 Rh 2.63, 2 Mo 2.71, 2 Cu 2.73
2 Mo 0.0000 0.0000 0.5000  8 Rh 2.66, 2 Cu 2.71, 2 Mo 2.73
3 Rh 0.5000 0.5000 0.2437  4 Cu 2.63, 4 Rh 2.64-2.78, 4 Mo 2.66
4 Rh 0.5000 0.5000 0.7563  4 Cu 2.63, 4 Rh 2.64-2.78, 4 Mo 2.66

=====

Material: Y2CdNi
Method: DFT, meta-GGA SCAN
State: PBEsol geometry

- space-group type = No. 44
- electronic total energy (eV per atom) = -25.825
- volume (Å³ per atom) = 21.9
- energy relative to the elements (meV per atom) = -256
- DOS(E_F) (states/eV per cell) = 7.0

Cell: 3.3635 4.8570 10.7192 Å, 90.00 90.00 90.00°
With the nearest neighbours (Å) after each atom.
Element x y z (fractional)
1 Y 0.0000 0.0000 0.0000  4 Ni 2.95, 2 Y 3.24, 2 Cd 3.27
2 Y 0.0000 0.5000 0.2007  2 Ni 2.79
3 Y 0.5000 0.0000 0.7007  2 Ni 2.79
4 Y 0.5000 0.5000 0.5000  4 Ni 2.95, 2 Y 3.24, 2 Cd 3.27
5 Cd 0.0000 0.5000 0.7963  2 Ni 2.70
6 Cd 0.5000 0.0000 0.2963  2 Ni 2.70
7 Ni 0.0000 0.0000 0.4936  2 Cd 2.70, 6 Y 2.79-2.95
8 Ni 0.5000 0.5000 0.9936  2 Cd 2.70, 6 Y 2.79-2.95

=====

Material: InFeP2
Method: DFT, meta-GGA SCAN
State: PBEsol geometry

- space-group type = No. 71
- electronic total energy (eV per atom) = -17.641
- volume (Å³ per atom) = 16.9
- energy relative to the elements (meV per atom) = 438
- DOS(E_F) (states/eV per cell) = 5.1

Cell: 3.6514 5.1768 7.1377 Å, 90.00 90.00 90.00°
With the nearest neighbours (Å) after each atom.
Element x y z (fractional)
1 In 0.0000 0.0000 0.0000  8 P 2.86-2.97, 4 Fe 3.17
2 In 0.5000 0.5000 0.5000  8 P 2.86-2.97, 4 Fe 3.17
3 Fe 0.0000 0.0000 0.5000  4 P 2.20
4 Fe 0.5000 0.5000 0.0000  4 P 2.20
5 P 0.0000 0.5000 0.1711  2 Fe 2.20, 1 P 2.44
6 P 0.0000 0.5000 0.8289  2 Fe 2.20, 1 P 2.44
7 P 0.5000 0.0000 0.3289  2 Fe 2.20, 1 P 2.44
8 P 0.5000 0.0000 0.6711  2 Fe 2.20, 1 P 2.44

=====

Material: Tc2HgTeOs
Method: DFT, meta-GGA SCAN
State: PBEsol geometry

- space-group type = No. 123
- raw formation energy (kJ per mole of atoms) = 143.3
- electronic total energy (eV per atom) = -47.998
- volume (Å³ per atom) = 22.8
- DOS(E_F) (states/eV per cell) = 4.2

Cell: 4.7232 4.7232 5.1194 Å, 90.00 90.00 90.00°
With the nearest neighbours (Å) after each atom.
Element x y z (fractional)
1 Tc 0.0000 0.5000 0.0000  2 Os 2.36
2 Tc 0.5000 0.0000 0.0000  2 Os 2.36
3 Hg 0.0000 0.0000 0.5000  4 Te 3.34, 8 Tc 3.48
4 Te 0.5000 0.5000 0.5000  2 Os 2.56
5 Os 0.5000 0.5000 0.0000  4 Tc 2.36, 2 Te 2.56

=====

Material: BaB2Pt2
Method: DFT, meta-GGA SCAN
State: PBEsol geometry

- space-group type = No. 127
- electronic total energy (eV per atom) = -38.613
- volume (Å³ per atom) = 17.1
- energy relative to the elements (meV per atom) = 346
- DOS(E_F) (states/eV per cell) = 4.7

Cell: 7.4980 7.4980 3.0451 Å, 90.00 90.00 90.00°
With the nearest neighbours (Å) after each atom.
Element x y z (fractional)
1 Ba 0.0000 0.0000 0.0000  2 Ba 3.05, 4 B 3.15, 8 Pt 3.33
2 Ba 0.5000 0.5000 0.0000  2 Ba 3.05, 4 B 3.15, 8 Pt 3.33
3 B 0.0888 0.4112 0.0000  1 B 1.88
4 B 0.4112 0.9112 0.0000  1 B 1.88
5 B 0.5888 0.0888 0.0000  1 B 1.88
6 B 0.9112 0.5888 0.0000  1 B 1.88
7 Pt 0.1256 0.6256 0.5000  4 B 2.23
8 Pt 0.3744 0.1256 0.5000  4 B 2.23
9 Pt 0.6256 0.8744 0.5000  4 B 2.23
10 Pt 0.8744 0.3744 0.5000  4 B 2.23